The following is a PBE calculation of a relaxed Sn3HgAs crystal, from Alexandria.

Structure (CIF):
```
data_Sn3HgAs
_chemical_formula_sum 'Sn6 Hg2 As2'
_space_group_name_H-M_alt 'P 1'
_space_group_IT_number 1
_cell_length_a 5.538
_cell_length_b 6.621
_cell_length_c 12.594
_cell_angle_alpha 105.24
_cell_angle_beta 90.00
_cell_angle_gamma 90.00
loop_
_space_group_symop_operation_xyz
'x,y,z'
loop_
_atom_site_label
_atom_site_type_symbol
_atom_site_fract_x
_atom_site_fract_y
_atom_site_fract_z
Hg1 Hg 0.750 0.891 0.783
Hg2 Hg 0.250 0.109 0.217
Sn1 Sn 0.500 0.000 0.000
Sn2 Sn 0.250 0.474 0.412
Sn3 Sn 0.000 0.000 0.000
Sn4 Sn 0.250 0.938 0.412
Sn5 Sn 0.750 0.062 0.588
Sn6 Sn 0.750 0.526 0.588
As1 As 0.750 0.706 0.413
As2 As 0.250 0.294 0.587
```

Output
Energy relative to the lowest polymorph listed for this composition   0 meV/atom
Formation enthalpy at 0 K   145.4 kJ/mol of formula units
Fermi-level density of states   0.463 states/eV per atom